(1)
A plane-wave DFT calculation with PBE was carried out for a relaxed InFeIr2 crystal.

The crystal system is monoclinic. The formation energy is 123 meV per atom.

The structure belongs to space group P2/m (No. 10); the cell edges are 2.838, 4.222 and 5.390 Å and the angles 90.00°, 104.63° and 90.00°. The inequivalent atoms are In at (0.000, 0.000, 0.000), Fe at (0.000, 0.000, 0.500) and Ir at (0.376, 0.500, 0.729).

***

(2)
A plane-wave DFT calculation with PBE was carried out for a relaxed Cs2TaCrC crystal.

The crystal system is tetragonal. The formation energy is 2451 meV per atom.

The structure belongs to space group P4/mmm (No. 123); the cell edges are 6.449, 6.449 and 4.407 Å and the angles 90.00°, 90.00° and 90.00°. The inequivalent atoms are Cs at (0.000, 0.500, 0.000), Ta at (0.000, 0.000, 0.500), Cr at (0.000, 0.000, 0.000) and C at (0.500, 0.500, 0.500).

***

(3)
A plane-wave DFT calculation with PBE was carried out for a relaxed Ce12Os6Pt crystal.

The crystal system is trigonal. The formation energy is -151 meV per atom.

The structure belongs to space group R-3 (No. 148, hexagonal axes); the cell edges are 12.5142, 12.5142 and 11.5691 Å and the angles 90.00°, 90.00° and 120.00°. The inequivalent atoms are Ce at (0.0268, 0.2078, 0.3895), Ce at (0.0348, 0.2149, 0.8836), Os at (0.0464, 0.2630, 0.6494) and Pt at (0.0000, 0.0000, 0.0000).

***

(4)
A plane-wave DFT calculation with PBE was carried out for a relaxed MnRe3 crystal.

The crystal system is monoclinic. The formation energy is 101 meV per atom.

The structure belongs to space group C2/m (No. 12); the cell edges are 8.966, 2.736 and 4.721 Å and the angles 90.00°, 100.02° and 90.00°. The inequivalent atoms are Mn at (0.000, 0.000, 0.000), Re at (0.000, 0.500, 0.500) and Re at (0.247, 0.500, 0.243).

***

(5)
A plane-wave DFT calculation with PBE was carried out for a relaxed Tb4Pr15Dy crystal.

The crystal system is tetragonal. The formation energy is 11 meV per atom.

The structure belongs to space group P4/mmm (No. 123); the cell edges are 5.206, 5.206 and 25.903 Å and the angles 90.00°, 90.00° and 90.00°. The inequivalent atoms are Tb at (0.000, 0.000, 0.100), Tb at (0.000, 0.000, 0.300), Pr at (0.000, 0.500, 0.000), Pr at (0.000, 0.500, 0.200), Pr at (0.000, 0.500, 0.400), Pr at (0.500, 0.500, 0.100), Pr at (0.500, 0.500, 0.300), Pr at (0.500, 0.500, 0.500) and Dy at (0.000, 0.000, 0.500).

***

(6)
A plane-wave DFT calculation with PBE was carried out for a relaxed Nd2AlSn4 crystal.

The crystal system is tetragonal. The formation energy is -432 meV per atom.

The structure belongs to space group P-4m2 (No. 115); the cell edges are 4.496, 4.496 and 9.650 Å and the angles 90.00°, 90.00° and 90.00°. The inequivalent atoms are Nd at (0.000, 0.500, 0.238), Al at (0.500, 0.500, 0.000), Sn at (0.000, 0.000, 0.500), Sn at (0.000, 0.500, 0.829) and Sn at (0.500, 0.500, 0.500).

***

(7)
A plane-wave DFT calculation with PBE was carried out for a relaxed Tb2CeSmEr4 crystal.

The crystal system is monoclinic. The formation energy is 39 meV per atom.

The structure belongs to space group P2/m (No. 10); the cell edges are 6.126, 3.533 and 11.697 Å and the angles 90.00°, 100.08° and 90.00°. The inequivalent atoms are Tb at (0.000, 0.000, 0.000), Tb at (0.000, 0.500, 0.500), Ce at (0.500, 0.000, 0.500), Sm at (0.500, 0.500, 0.000), Er at (0.252, 0.000, 0.749) and Er at (0.254, 0.500, 0.252).

***

(8)
A plane-wave DFT calculation with PBE was carried out for a relaxed ScMn2Te crystal.

The value obtained for the uncorrected formation energy is 159 meV per atom. The crystal system is monoclinic.

The structure belongs to space group C2/m (No. 12); the cell edges are 5.735, 9.422 and 3.313 Å and the angles 90.00°, 122.58° and 90.00°. The inequivalent atoms are Sc at (0.000, 0.000, 0.000), Mn at (0.250, 0.250, 0.500) and Te at (0.000, 0.500, 0.000).

***

(9)
A plane-wave DFT calculation with PBE was carried out for a relaxed Ag2PRh crystal.

The crystal system is orthorhombic. The formation energy is 14 meV per atom.

The structure belongs to space group Amm2 (No. 38); the cell edges are 4.060, 3.076 and 10.458 Å and the angles 90.00°, 90.00° and 90.00°. The inequivalent atoms are Ag at (0.000, 0.000, 0.000), Ag at (0.500, 0.000, 0.366), P at (0.500, 0.000, 0.636) and Rh at (0.000, 0.000, 0.730).

***

(10)
A plane-wave DFT calculation with PBE was carried out for a relaxed Na2ErCl5 crystal.

The value obtained for the uncorrected formation energy is -2033 meV per atom. The crystal system is orthorhombic. For the polymorph energy (0 for the lowest one), the calculation gives 0 meV per atom.

The structure belongs to space group Cmcm (No. 63); the cell edges are 5.274, 13.882 and 13.584 Å and the angles 90.00°, 90.00° and 90.00°. The inequivalent atoms are Na at (0.000, 0.145, 0.056), Er at (0.000, 0.180, 0.750), Cl at (0.000, 0.045, 0.621), Cl at (0.000, 0.287, 0.250) and Cl at (0.000, 0.301, 0.598).

***

(11)
A plane-wave DFT calculation with PBE was carried out for a relaxed PmPrTe2 crystal.

The value obtained for the uncorrected formation energy is -916 meV per atom. The crystal system is trigonal. For the polymorph energy (0 for the lowest one), the calculation gives 517 meV per atom.

The structure belongs to space group R-3m (No. 166, hexagonal axes); the cell edges are 4.3970, 4.3970 and 29.7485 Å and the angles 90.00°, 90.00° and 120.00°. The inequivalent atoms are Pm at (0.0000, 0.0000, 0.0000), Pr at (0.0000, 0.0000, 0.5000) and Te at (0.0000, 0.0000, 0.1028).

***

(12)
A plane-wave DFT calculation with PBE was carried out for a relaxed AgMo5 crystal.

The crystal system is monoclinic. The formation energy is 410 meV per atom. For the polymorph energy (0 for the lowest one), the calculation gives 0 meV per atom.

The structure belongs to space group Cm (No. 8); the cell edges are 10.733, 2.625 and 7.115 Å and the angles 90.00°, 104.09° and 90.00°. The inequivalent atoms are Ag at (0.000, 0.000, 0.000), Mo at (0.061, 0.000, 0.635), Mo at (0.167, 0.500, 0.331), Mo at (0.232, 0.500, 0.966), Mo at (0.329, 0.000, 0.663) and Mo at (0.404, 0.000, 0.298).

***

Calculated values (Å³ per atom) of calculated volume for the records, taken in order: 15.6; 36.7; 27.5; 14.3; 35.1; 27.9; 31.2; 18.9; 16.3; 31.1; 41.5; 16.2.